P) # SCAN Be3Pb, PBEsol geometry
data_Be3Pb
_symmetry_space_group_name_H-M 'P 1'
_symmetry_Int_Tables_number 1
_cell_length_a 6.037
_cell_length_b 6.037
_cell_length_c 3.550
_cell_angle_alpha 90.00
_cell_angle_beta 90.00
_cell_angle_gamma 113.61
loop_
_symmetry_equiv_pos_as_xyz
'x,y,z'
loop_
_atom_site_label
_atom_site_type_symbol
_atom_site_fract_x
_atom_site_fract_y
_atom_site_fract_z
Be1 Be 0.107 0.228 0.750
Be2 Be 0.123 0.877 0.750
Be3 Be 0.228 0.107 0.250
Be4 Be 0.772 0.893 0.750
Be5 Be 0.877 0.123 0.250
Be6 Be 0.893 0.772 0.250
Pb1 Pb 0.340 0.660 0.250
Pb2 Pb 0.660 0.340 0.750
# SG	No. 63
# D(E_F)	1.15	states/eV/f.u.

=====

Q) # SCAN Be3Pb, PBEsol geometry
data_Be3Pb
_symmetry_space_group_name_H-M 'P 1'
_symmetry_Int_Tables_number 1
_cell_length_a 3.859
_cell_length_b 3.859
_cell_length_c 4.685
_cell_angle_alpha 90.00
_cell_angle_beta 90.00
_cell_angle_gamma 120.00
loop_
_symmetry_equiv_pos_as_xyz
'x,y,z'
loop_
_atom_site_label
_atom_site_type_symbol
_atom_site_fract_x
_atom_site_fract_y
_atom_site_fract_z
Be1 Be 0.000 0.000 0.000
Be2 Be 0.667 0.333 0.226
Be3 Be 0.667 0.333 0.774
Pb1 Pb 0.000 0.000 0.500
# SG	No. 187
# D(E_F)	0.68	states/eV/f.u.

=====

P) takes first place; second place is 0.008 eV/atom up.

=====

P) # SCAN Be3Pb, PBEsol geometry
data_Be3Pb
_symmetry_space_group_name_H-M 'P 1'
_symmetry_Int_Tables_number 1
_cell_length_a 4.717
_cell_length_b 4.717
_cell_length_c 4.717
_cell_angle_alpha 114.91
_cell_angle_beta 114.91
_cell_angle_gamma 114.91
loop_
_symmetry_equiv_pos_as_xyz
'x,y,z'
loop_
_atom_site_label
_atom_site_type_symbol
_atom_site_fract_x
_atom_site_fract_y
_atom_site_fract_z
Be1 Be 0.000 0.500 0.500
Be2 Be 0.500 0.000 0.500
Be3 Be 0.500 0.500 0.000
Pb1 Pb 0.000 0.000 0.000
# SG	No. 166
# D(E_F)	1.27	states/eV/f.u.

=====

Q) # SCAN Be3Pb, PBEsol geometry
data_Be3Pb
_symmetry_space_group_name_H-M 'P 1'
_symmetry_Int_Tables_number 1
_cell_length_a 4.670
_cell_length_b 4.670
_cell_length_c 4.670
_cell_angle_alpha 90.00
_cell_angle_beta 90.00
_cell_angle_gamma 90.00
loop_
_symmetry_equiv_pos_as_xyz
'x,y,z'
loop_
_atom_site_label
_atom_site_type_symbol
_atom_site_fract_x
_atom_site_fract_y
_atom_site_fract_z
Be1 Be 0.000 0.000 0.500
Be2 Be 0.000 0.500 0.000
Be3 Be 0.500 0.000 0.000
Pb1 Pb 0.000 0.000 0.000
# SG	No. 221
# D(E_F)	2.48	states/eV/f.u.

=====

P) takes first place; second place is 0.804 eV/atom up.

=====

P) # SCAN BeSb2Pb, PBEsol geometry
data_BeSb2Pb
_symmetry_space_group_name_H-M 'P 1'
_symmetry_Int_Tables_number 1
_cell_length_a 3.253
_cell_length_b 3.253
_cell_length_c 9.132
_cell_angle_alpha 90.00
_cell_angle_beta 90.00
_cell_angle_gamma 105.76
loop_
_symmetry_equiv_pos_as_xyz
'x,y,z'
loop_
_atom_site_label
_atom_site_type_symbol
_atom_site_fract_x
_atom_site_fract_y
_atom_site_fract_z
Be1 Be 0.000 0.000 0.000
Sb1 Sb 0.000 0.000 0.484
Sb2 Sb 0.500 0.500 0.174
Pb1 Pb 0.500 0.500 0.786
# SG	No. 35
# D(E_F)	1.85	states/eV/f.u.

=====

Q) # SCAN BeSb2Pb, PBEsol geometry
data_BeSb2Pb
_symmetry_space_group_name_H-M 'P 1'
_symmetry_Int_Tables_number 1
_cell_length_a 4.763
_cell_length_b 3.874
_cell_length_c 5.635
_cell_angle_alpha 90.00
_cell_angle_beta 105.61
_cell_angle_gamma 90.00
loop_
_symmetry_equiv_pos_as_xyz
'x,y,z'
loop_
_atom_site_label
_atom_site_type_symbol
_atom_site_fract_x
_atom_site_fract_y
_atom_site_fract_z
Be1 Be 0.000 0.000 0.000
Sb1 Sb 0.245 0.000 0.438
Sb2 Sb 0.936 0.500 0.719
Pb1 Pb 0.555 0.500 0.132
# SG	No. 6
# D(E_F)	1.75	states/eV/f.u.

=====

Q) takes first place; second place is 0.095 eV/atom up.

=====

P) # SCAN Ta2BePb, PBEsol geometry
data_Ta2BePb
_symmetry_space_group_name_H-M 'P 1'
_symmetry_Int_Tables_number 1
_cell_length_a 2.952
_cell_length_b 2.952
_cell_length_c 7.812
_cell_angle_alpha 90.00
_cell_angle_beta 90.00
_cell_angle_gamma 90.00
loop_
_symmetry_equiv_pos_as_xyz
'x,y,z'
loop_
_atom_site_label
_atom_site_type_symbol
_atom_site_fract_x
_atom_site_fract_y
_atom_site_fract_z
Ta1 Ta 0.000 0.000 0.196
Ta2 Ta 0.000 0.000 0.804
Be1 Be 0.500 0.500 0.000
Pb1 Pb 0.500 0.500 0.500
# SG	No. 123
# D(E_F)	1.73	states/eV/f.u.

=====

Q) # SCAN Ta2BePb, PBEsol geometry
data_Ta2BePb
_symmetry_space_group_name_H-M 'P 1'
_symmetry_Int_Tables_number 1
_cell_length_a 5.157
_cell_length_b 5.157
_cell_length_c 5.157
_cell_angle_alpha 139.74
_cell_angle_beta 128.93
_cell_angle_gamma 66.95
loop_
_symmetry_equiv_pos_as_xyz
'x,y,z'
loop_
_atom_site_label
_atom_site_type_symbol
_atom_site_fract_x
_atom_site_fract_y
_atom_site_fract_z
Ta1 Ta 0.000 0.000 0.000
Ta2 Ta 0.730 0.230 0.500
Be1 Be 0.228 0.728 0.500
Pb1 Pb 0.457 0.457 0.000
# SG	No. 44
# D(E_F)	1.59	states/eV/f.u.

=====

P) takes first place; second place is 0.072 eV/atom up.

=====

P) # SCAN BeTe2Pb, PBEsol geometry
data_BeTe2Pb
_symmetry_space_group_name_H-M 'P 1'
_symmetry_Int_Tables_number 1
_cell_length_a 4.195
_cell_length_b 3.669
_cell_length_c 7.105
_cell_angle_alpha 90.00
_cell_angle_beta 104.30
_cell_angle_gamma 90.00
loop_
_symmetry_equiv_pos_as_xyz
'x,y,z'
loop_
_atom_site_label
_atom_site_type_symbol
_atom_site_fract_x
_atom_site_fract_y
_atom_site_fract_z
Be1 Be 0.000 0.000 0.000
Te1 Te 0.111 0.500 0.784
Te2 Te 0.889 0.500 0.216
Pb1 Pb 0.500 0.000 0.500
# SG	No. 10
# D(E_F)	1.33	states/eV/f.u.

=====

Q) # SCAN BeTe2Pb, PBEsol geometry
data_BeTe2Pb
_symmetry_space_group_name_H-M 'P 1'
_symmetry_Int_Tables_number 1
_cell_length_a 7.521
_cell_length_b 7.521
_cell_length_c 7.521
_cell_angle_alpha 31.16
_cell_angle_beta 31.16
_cell_angle_gamma 31.16
loop_
_symmetry_equiv_pos_as_xyz
'x,y,z'
loop_
_atom_site_label
_atom_site_type_symbol
_atom_site_fract_x
_atom_site_fract_y
_atom_site_fract_z
Be1 Be 0.000 0.000 0.000
Te1 Te 0.269 0.269 0.269
Te2 Te 0.731 0.731 0.731
Pb1 Pb 0.500 0.500 0.500
# SG	No. 166
# D(E_F)	0.44	states/eV/f.u.

=====

Q) takes first place; second place is 0.125 eV/atom up.

=====

P) # SCAN BePbW2, PBEsol geometry
data_BePbW2
_symmetry_space_group_name_H-M 'P 1'
_symmetry_Int_Tables_number 1
_cell_length_a 2.862
_cell_length_b 4.387
_cell_length_c 5.331
_cell_angle_alpha 90.00
_cell_angle_beta 97.42
_cell_angle_gamma 90.00
loop_
_symmetry_equiv_pos_as_xyz
'x,y,z'
loop_
_atom_site_label
_atom_site_type_symbol
_atom_site_fract_x
_atom_site_fract_y
_atom_site_fract_z
Be1 Be 0.000 0.000 0.000
Pb1 Pb 0.500 0.000 0.500
W1 W 0.278 0.500 0.786
W2 W 0.722 0.500 0.214
# SG	No. 10
# D(E_F)	2.30	states/eV/f.u.

=====

Q) # SCAN BePbW2, PBEsol geometry
data_BePbW2
_symmetry_space_group_name_H-M 'P 1'
_symmetry_Int_Tables_number 1
_cell_length_a 5.058
_cell_length_b 5.058
_cell_length_c 5.058
_cell_angle_alpha 142.95
_cell_angle_beta 125.66
_cell_angle_gamma 67.60
loop_
_symmetry_equiv_pos_as_xyz
'x,y,z'
loop_
_atom_site_label
_atom_site_type_symbol
_atom_site_fract_x
_atom_site_fract_y
_atom_site_fract_z
Be1 Be 0.000 0.000 0.000
Pb1 Pb 0.500 0.500 0.000
W1 W 0.211 0.711 0.500
W2 W 0.789 0.289 0.500
# SG	No. 71
# D(E_F)	2.01	states/eV/f.u.

=====

Q) takes first place; second place is 0.043 eV/atom up.

=====

P) # SCAN BeZn2Pb, PBEsol geometry
data_BeZn2Pb
_symmetry_space_group_name_H-M 'P 1'
_symmetry_Int_Tables_number 1
_cell_length_a 3.065
_cell_length_b 3.315
_cell_length_c 6.801
_cell_angle_alpha 90.00
_cell_angle_beta 90.00
_cell_angle_gamma 90.00
loop_
_symmetry_equiv_pos_as_xyz
'x,y,z'
loop_
_atom_site_label
_atom_site_type_symbol
_atom_site_fract_x
_atom_site_fract_y
_atom_site_fract_z
Be1 Be 0.000 0.000 0.000
Zn1 Zn 0.000 0.000 0.640
Zn2 Zn 0.500 0.500 0.856
Pb1 Pb 0.500 0.500 0.309
# SG	No. 25
# D(E_F)	1.58	states/eV/f.u.

=====

Q) # SCAN BeZn2Pb, PBEsol geometry
data_BeZn2Pb
_symmetry_space_group_name_H-M 'P 1'
_symmetry_Int_Tables_number 1
_cell_length_a 3.683
_cell_length_b 4.121
_cell_length_c 4.845
_cell_angle_alpha 90.00
_cell_angle_beta 90.00
_cell_angle_gamma 90.00
loop_
_symmetry_equiv_pos_as_xyz
'x,y,z'
loop_
_atom_site_label
_atom_site_type_symbol
_atom_site_fract_x
_atom_site_fract_y
_atom_site_fract_z
Be1 Be 0.000 0.000 0.000
Zn1 Zn 0.000 0.500 0.246
Zn2 Zn 0.000 0.500 0.754
Pb1 Pb 0.500 0.000 0.500
# SG	No. 47
# D(E_F)	1.35	states/eV/f.u.

=====

R) # SCAN BeZn2Pb, PBEsol geometry
data_BeZn2Pb
_symmetry_space_group_name_H-M 'P 1'
_symmetry_Int_Tables_number 1
_cell_length_a 4.660
_cell_length_b 4.660
_cell_length_c 4.660
_cell_angle_alpha 60.00
_cell_angle_beta 60.00
_cell_angle_gamma 60.00
loop_
_symmetry_equiv_pos_as_xyz
'x,y,z'
loop_
_atom_site_label
_atom_site_type_symbol
_atom_site_fract_x
_atom_site_fract_y
_atom_site_fract_z
Be1 Be 0.000 0.000 0.000
Zn1 Zn 0.250 0.250 0.250
Zn2 Zn 0.750 0.750 0.750
Pb1 Pb 0.500 0.500 0.500
# SG	No. 225
# D(E_F)	1.45	states/eV/f.u.

=====

Q) takes first place; second place is 0.059 eV/atom up.

=====

P) # SCAN Be2ZnPb, PBEsol geometry
data_Be2ZnPb
_symmetry_space_group_name_H-M 'P 1'
_symmetry_Int_Tables_number 1
_cell_length_a 5.017
_cell_length_b 5.017
_cell_length_c 3.383
_cell_angle_alpha 106.52
_cell_angle_beta 106.52
_cell_angle_gamma 113.35
loop_
_symmetry_equiv_pos_as_xyz
'x,y,z'
loop_
_atom_site_label
_atom_site_type_symbol
_atom_site_fract_x
_atom_site_fract_y
_atom_site_fract_z
Be1 Be 0.000 0.500 0.000
Be2 Be 0.500 0.000 0.000
Zn1 Zn 0.000 0.000 0.000
Pb1 Pb 0.500 0.500 0.000
# SG	No. 12
# D(E_F)	1.21	states/eV/f.u.

=====

Q) # SCAN Be2ZnPb, PBEsol geometry
data_Be2ZnPb
_symmetry_space_group_name_H-M 'P 1'
_symmetry_Int_Tables_number 1
_cell_length_a 4.523
_cell_length_b 4.523
_cell_length_c 4.523
_cell_angle_alpha 60.00
_cell_angle_beta 60.00
_cell_angle_gamma 60.00
loop_
_symmetry_equiv_pos_as_xyz
'x,y,z'
loop_
_atom_site_label
_atom_site_type_symbol
_atom_site_fract_x
_atom_site_fract_y
_atom_site_fract_z
Be1 Be 0.000 0.000 0.000
Be2 Be 0.250 0.250 0.250
Zn1 Zn 0.500 0.500 0.500
Pb1 Pb 0.750 0.750 0.750
# SG	No. 216
# D(E_F)	1.68	states/eV/f.u.

=====

P) takes first place; second place is 0.104 eV/atom up.

=====

P) # SCAN Be2ZnPb, PBEsol geometry
data_Be2ZnPb
_symmetry_space_group_name_H-M 'P 1'
_symmetry_Int_Tables_number 1
_cell_length_a 8.354
_cell_length_b 8.354
_cell_length_c 8.354
_cell_angle_alpha 150.88
_cell_angle_beta 150.88
_cell_angle_gamma 41.64
loop_
_symmetry_equiv_pos_as_xyz
'x,y,z'
loop_
_atom_site_label
_atom_site_type_symbol
_atom_site_fract_x
_atom_site_fract_y
_atom_site_fract_z
Be1 Be 0.000 0.000 0.000
Be2 Be 0.000 0.000 0.500
Be3 Be 0.000 0.500 0.000
Be4 Be 0.500 0.000 0.500
Zn1 Zn 0.125 0.875 0.250
Zn2 Zn 0.875 0.125 0.750
Pb1 Pb 0.375 0.625 0.750
Pb2 Pb 0.625 0.375 0.250
# SG	No. 141
# D(E_F)	1.52	states/eV/f.u.

=====

Q) # SCAN Be2ZnPb, PBEsol geometry
data_Be2ZnPb
_symmetry_space_group_name_H-M 'P 1'
_symmetry_Int_Tables_number 1
_cell_length_a 3.094
_cell_length_b 3.094
_cell_length_c 6.637
_cell_angle_alpha 90.00
_cell_angle_beta 90.00
_cell_angle_gamma 90.00
loop_
_symmetry_equiv_pos_as_xyz
'x,y,z'
loop_
_atom_site_label
_atom_site_type_symbol
_atom_site_fract_x
_atom_site_fract_y
_atom_site_fract_z
Be1 Be 0.000 0.000 0.170
Be2 Be 0.000 0.000 0.830
Zn1 Zn 0.500 0.500 0.000
Pb1 Pb 0.500 0.500 0.500
# SG	No. 123
# D(E_F)	1.56	states/eV/f.u.

=====

R) # SCAN Be2ZnPb, PBEsol geometry
data_Be2ZnPb
_symmetry_space_group_name_H-M 'P 1'
_symmetry_Int_Tables_number 1
_cell_length_a 4.930
_cell_length_b 4.930
_cell_length_c 4.930
_cell_angle_alpha 133.71
_cell_angle_beta 133.71
_cell_angle_gamma 67.54
loop_
_symmetry_equiv_pos_as_xyz
'x,y,z'
loop_
_atom_site_label
_atom_site_type_symbol
_atom_site_fract_x
_atom_site_fract_y
_atom_site_fract_z
Be1 Be 0.000 0.000 0.000
Be2 Be 0.750 0.250 0.500
Zn1 Zn 0.250 0.750 0.500
Pb1 Pb 0.500 0.500 0.000
# SG	No. 119
# D(E_F)	1.27	states/eV/f.u.

=====

P) takes first place; second place is 0.124 eV/atom up.

=====

P) # SCAN Zr2BePb, PBEsol geometry
data_Zr2BePb
_symmetry_space_group_name_H-M 'P 1'
_symmetry_Int_Tables_number 1
_cell_length_a 3.353
_cell_length_b 3.991
_cell_length_c 6.120
_cell_angle_alpha 90.00
_cell_angle_beta 90.00
_cell_angle_gamma 90.00
loop_
_symmetry_equiv_pos_as_xyz
'x,y,z'
loop_
_atom_site_label
_atom_site_type_symbol
_atom_site_fract_x
_atom_site_fract_y
_atom_site_fract_z
Zr1 Zr 0.000 0.000 0.000
Zr2 Zr 0.500 0.500 0.251
Be1 Be 0.000 0.000 0.444
Pb1 Pb 0.500 0.500 0.723
# SG	No. 25
# D(E_F)	3.09	states/eV/f.u.

=====

Q) # SCAN Zr2BePb, PBEsol geometry
data_Zr2BePb
_symmetry_space_group_name_H-M 'P 1'
_symmetry_Int_Tables_number 1
_cell_length_a 4.249
_cell_length_b 4.249
_cell_length_c 4.263
_cell_angle_alpha 90.00
_cell_angle_beta 90.00
_cell_angle_gamma 90.00
loop_
_symmetry_equiv_pos_as_xyz
'x,y,z'
loop_
_atom_site_label
_atom_site_type_symbol
_atom_site_fract_x
_atom_site_fract_y
_atom_site_fract_z
Zr1 Zr 0.000 0.500 0.000
Zr2 Zr 0.500 0.000 0.000
Be1 Be 0.000 0.000 0.500
Pb1 Pb 0.500 0.500 0.500
# SG	No. 123
# D(E_F)	2.30	states/eV/f.u.

=====

Q) takes first place; second place is 0.250 eV/atom up.

=====

P) # SCAN Zr2BePb, PBEsol geometry
data_Zr2BePb
_symmetry_space_group_name_H-M 'P 1'
_symmetry_Int_Tables_number 1
_cell_length_a 3.164
_cell_length_b 3.996
_cell_length_c 6.095
_cell_angle_alpha 90.00
_cell_angle_beta 90.78
_cell_angle_gamma 90.00
loop_
_symmetry_equiv_pos_as_xyz
'x,y,z'
loop_
_atom_site_label
_atom_site_type_symbol
_atom_site_fract_x
_atom_site_fract_y
_atom_site_fract_z
Zr1 Zr 0.006 0.000 0.271
Zr2 Zr 0.994 0.000 0.729
Be1 Be 0.500 0.500 0.500
Pb1 Pb 0.500 0.500 0.000
# SG	No. 10
# D(E_F)	2.69	states/eV/f.u.

=====

Q) # SCAN Zr2BePb, PBEsol geometry
data_Zr2BePb
_symmetry_space_group_name_H-M 'P 1'
_symmetry_Int_Tables_number 1
_cell_length_a 5.566
_cell_length_b 5.566
_cell_length_c 5.566
_cell_angle_alpha 141.20
_cell_angle_beta 132.86
_cell_angle_gamma 62.64
loop_
_symmetry_equiv_pos_as_xyz
'x,y,z'
loop_
_atom_site_label
_atom_site_type_symbol
_atom_site_fract_x
_atom_site_fract_y
_atom_site_fract_z
Zr1 Zr 0.000 0.000 0.000
Zr2 Zr 0.732 0.232 0.500
Be1 Be 0.245 0.745 0.500
Pb1 Pb 0.457 0.457 0.000
# SG	No. 44
# D(E_F)	2.83	states/eV/f.u.

=====

P) takes first place; second place is 0.045 eV/atom up.

=====

P) # SCAN BeRePd3, PBEsol geometry
data_BeRePd3
_symmetry_space_group_name_H-M 'P 1'
_symmetry_Int_Tables_number 1
_cell_length_a 4.711
_cell_length_b 4.711
_cell_length_c 4.711
_cell_angle_alpha 90.00
_cell_angle_beta 90.00
_cell_angle_gamma 90.00
loop_
_symmetry_equiv_pos_as_xyz
'x,y,z'
loop_
_atom_site_label
_atom_site_type_symbol
_atom_site_fract_x
_atom_site_fract_y
_atom_site_fract_z
Be1 Be 0.000 0.000 0.000
Re1 Re 0.500 0.500 0.500
Pd1 Pd 0.000 0.500 0.500
Pd2 Pd 0.500 0.000 0.500
Pd3 Pd 0.500 0.500 0.000
# SG	No. 221
# D(E_F)	4.42	states/eV/f.u.

=====

Q) # SCAN BeRePd3, PBEsol geometry
data_BeRePd3
_symmetry_space_group_name_H-M 'P 1'
_symmetry_Int_Tables_number 1
_cell_length_a 4.128
_cell_length_b 4.128
_cell_length_c 4.128
_cell_angle_alpha 90.00
_cell_angle_beta 90.00
_cell_angle_gamma 90.00
loop_
_symmetry_equiv_pos_as_xyz
'x,y,z'
loop_
_atom_site_label
_atom_site_type_symbol
_atom_site_fract_x
_atom_site_fract_y
_atom_site_fract_z
Be1 Be 0.000 0.000 0.000
Re1 Re 0.500 0.500 0.500
Pd1 Pd 0.000 0.000 0.500
Pd2 Pd 0.000 0.500 0.000
Pd3 Pd 0.500 0.000 0.000
# SG	No. 221
# D(E_F)	4.51	states/eV/f.u.

=====

Q) takes first place; second place is 1.100 eV/atom up.